# Sr2CdSi | OQMD via LeMat-Bulk | PBE | relaxed
# symmetry: F-43m (216)
data_Sr2CdSi
_chemical_formula_sum 'Sr8 Cd4 Si4'
_cell_length_a 7.758
_cell_length_b 7.758
_cell_length_c 7.758
_cell_angle_alpha 90.00
_cell_angle_beta 90.00
_cell_angle_gamma 90.00
_symmetry_space_group_name_H-M 'P 1'
_symmetry_Int_Tables_number 1
loop_
_symmetry_equiv_pos_as_xyz
'x,y,z'
loop_
_atom_site_label
_atom_site_type_symbol
_atom_site_fract_x
_atom_site_fract_y
_atom_site_fract_z
Sr1 Sr 0.000 0.000 0.000
Sr2 Sr 0.000 0.500 0.500
Sr3 Sr 0.250 0.250 0.250
Sr4 Sr 0.250 0.750 0.750
Sr5 Sr 0.500 0.000 0.500
Sr6 Sr 0.500 0.500 0.000
Sr7 Sr 0.750 0.250 0.750
Sr8 Sr 0.750 0.750 0.250
Cd1 Cd 0.250 0.250 0.750
Cd2 Cd 0.250 0.750 0.250
Cd3 Cd 0.750 0.250 0.250
Cd4 Cd 0.750 0.750 0.750
Si1 Si 0.000 0.000 0.500
Si2 Si 0.000 0.500 0.000
Si3 Si 0.500 0.000 0.000
Si4 Si 0.500 0.500 0.500

---

# BaSmAg2As2 | OQMD via LeMat-Bulk | PBE | relaxed
# symmetry: P-3m1 (164)
data_BaSmAg2As2
_chemical_formula_sum 'Ba1 Sm1 Ag2 As2'
_cell_length_a 4.561
_cell_length_b 4.561
_cell_length_c 8.430
_cell_angle_alpha 90.00
_cell_angle_beta 90.00
_cell_angle_gamma 120.00
_symmetry_space_group_name_H-M 'P 1'
_symmetry_Int_Tables_number 1
loop_
_symmetry_equiv_pos_as_xyz
'x,y,z'
loop_
_atom_site_label
_atom_site_type_symbol
_atom_site_fract_x
_atom_site_fract_y
_atom_site_fract_z
Ba1 Ba 0.000 0.000 0.000
Sm1 Sm 0.000 0.000 0.500
Ag1 Ag 0.333 0.667 0.711
Ag2 Ag 0.667 0.333 0.289
As1 As 0.333 0.667 0.274
As2 As 0.667 0.333 0.726

---

# PrGd2AgHg3Au2 | OQMD via LeMat-Bulk | PBE | relaxed
# symmetry: Amm2 (38)
# energy of formation from the pure elements: -56.5 kJ per mole of atoms
data_PrGd2AgHg3Au2
_chemical_formula_sum 'Pr1 Gd2 Ag1 Hg3 Au2'
_cell_length_a 3.861
_cell_length_b 8.039
_cell_length_c 8.039
_cell_angle_alpha 120.34
_cell_angle_beta 90.00
_cell_angle_gamma 90.00
_symmetry_space_group_name_H-M 'P 1'
_symmetry_Int_Tables_number 1
loop_
_symmetry_equiv_pos_as_xyz
'x,y,z'
loop_
_atom_site_label
_atom_site_type_symbol
_atom_site_fract_x
_atom_site_fract_y
_atom_site_fract_z
Pr1 Pr 0.000 0.000 0.000
Gd1 Gd 0.000 0.190 0.596
Gd2 Gd 0.000 0.596 0.190
Ag1 Ag 0.000 0.594 0.594
Hg1 Hg 0.500 0.331 0.331
Hg2 Hg 0.500 0.594 0.862
Hg3 Hg 0.500 0.862 0.594
Au1 Au 0.500 0.267 0.928
Au2 Au 0.500 0.928 0.267

---

The calculation returns the following E values, one per record and in order: -2.31 -4.34 -3.29 eV per atom.